The following is a PBE with a Hubbard U calculation of KCoNO after structural relaxation, from OQMD.

Summary:
VASP energy in eV/atom: -5.09
Magnetic moment in μB/f.u.: 2.04
Space-group type: Pmc2_1 (26)

Cell: 3.201 5.684 6.503 Å, 90.00 90.00 90.00°
Fractional positions:
Co 0.000 0.501 0.349
Co 0.000 0.001 0.651
K 0.500 0.003 0.205
K 0.500 0.503 0.795
N 0.000 0.753 0.497
N 0.000 0.253 0.503
O 0.500 0.498 0.199
O 0.500 0.998 0.801